[1]
Below is a geometry-optimized RbTaF2 structure, with properties calculated at the PBE level.

a b c (Å): 6.1934 6.1934 9.2334
angles (deg): 90.00 90.00 90.00
Last column: nearest neighbours and their distance in Å.
Space group I-42d (No. 122)
Symmetry-distinct sites (fractional):
Rb 0.0000 0.0000 0.0000 x4  4 F 2.75
Ta 0.0000 0.0000 0.5000 x4  4 F 2.24
F 0.1838 0.2500 0.6250 x8  2 Ta 2.24

Computed properties:
Energy relative to the elements, uncorrected   -0.94 eV per atom



[2]
Below is a geometry-optimized BaCe2CuS5 structure, with properties calculated at the PBE level.

a b c (Å): 7.7777 7.7777 13.5049
angles (deg): 90.00 90.00 90.00
Last column: nearest neighbours and their distance in Å.
Space group I4/mcm (No. 140)
Symmetry-distinct sites (fractional):
Ba 0.0000 0.0000 0.2500 x4  10 S 3.37-3.38
Ce 0.1615 0.3385 0.0000 x8  8 S 2.74-3.00
Cu 0.0000 0.5000 0.2500 x4  4 S 2.29
S 0.0000 0.0000 0.0000 x4  4 Ce 2.92
S 0.1493 0.3507 0.3681 x16  1 Cu 2.29

Computed properties:
Energy relative to the elements, uncorrected   -1.73 eV per atom